Entry P
Below is BaCa2Co after structural relaxation, with properties calculated at the PBE level.

Cell and atoms, written as CIF:
```
data_BaCa2Co
_chemical_formula_sum 'Ba2 Ca4 Co2'
_space_group_name_H-M_alt 'I 4/m m m'
_space_group_IT_number 139
_space_group_name_Hall '-I 4 2'
_cell_length_a 4.989
_cell_length_b 4.989
_cell_length_c 10.730
_cell_angle_alpha 90.00
_cell_angle_beta 90.00
_cell_angle_gamma 90.00
loop_
_atom_site_label
_atom_site_type_symbol
_atom_site_fract_x
_atom_site_fract_y
_atom_site_fract_z
Ba1 Ba 0.000 0.000 0.000
Ca1 Ca 0.000 0.500 0.250
Co1 Co 0.000 0.000 0.500
```

---

Entry Q
Below is BaCa2Co after structural relaxation, with properties calculated at the PBE level.

Cell and atoms, written as CIF:
```
data_BaCa2Co
_chemical_formula_sum 'Ba1 Ca2 Co1'
_space_group_name_H-M_alt 'P 4/m m m'
_space_group_IT_number 123
_space_group_name_Hall '-P 4 2'
_cell_length_a 4.948
_cell_length_b 4.948
_cell_length_c 5.516
_cell_angle_alpha 90.00
_cell_angle_beta 90.00
_cell_angle_gamma 90.00
loop_
_atom_site_label
_atom_site_type_symbol
_atom_site_fract_x
_atom_site_fract_y
_atom_site_fract_z
Ba1 Ba 0.000 0.000 0.000
Ca1 Ca 0.000 0.500 0.500
Co1 Co 0.500 0.500 0.000
```

---

Stability ranking, top entry: entry Q; the second entry is 16 meV per atom less favorable.

---

Entry P
Below is BaCa2Co after structural relaxation, with properties calculated at the PBE level.

Cell and atoms, written as CIF:
```
data_BaCa2Co
_chemical_formula_sum 'Ba2 Ca4 Co2'
_space_group_name_H-M_alt 'A m m 2'
_space_group_IT_number 38
_space_group_name_Hall 'A 2 -2'
_cell_length_a 3.923
_cell_length_b 4.269
_cell_length_c 17.124
_cell_angle_alpha 90.00
_cell_angle_beta 90.00
_cell_angle_gamma 90.00
loop_
_atom_site_label
_atom_site_type_symbol
_atom_site_fract_x
_atom_site_fract_y
_atom_site_fract_z
Ba1 Ba 0.000 0.000 0.000
Ca1 Ca 0.000 0.000 0.680
Ca2 Ca 0.500 0.000 0.312
Co1 Co 0.500 0.000 0.146
```

---

Entry Q
Below is BaCa2Co after structural relaxation, with properties calculated at the PBE level.

Cell and atoms, written as CIF:
```
data_BaCa2Co
_chemical_formula_sum 'Ba2 Ca4 Co2'
_space_group_name_H-M_alt 'C 1 2/m 1'
_space_group_IT_number 12
_space_group_name_Hall '-C 2y'
_cell_length_a 6.900
_cell_length_b 12.168
_cell_length_c 3.801
_cell_angle_alpha 90.00
_cell_angle_beta 119.46
_cell_angle_gamma 90.00
loop_
_atom_site_label
_atom_site_type_symbol
_atom_site_fract_x
_atom_site_fract_y
_atom_site_fract_z
Ba1 Ba 0.000 0.000 0.000
Ca1 Ca 0.250 0.250 0.500
Co1 Co 0.000 0.500 0.000
```

---

Entry R
Below is BaCa2Co after structural relaxation, with properties calculated at the PBE level.

Cell and atoms, written as CIF:
```
data_BaCa2Co
_chemical_formula_sum 'Ba1 Ca2 Co1'
_space_group_name_H-M_alt 'P 4 m m'
_space_group_IT_number 99
_space_group_name_Hall 'P 4 -2'
_cell_length_a 3.765
_cell_length_b 3.765
_cell_length_c 9.708
_cell_angle_alpha 90.00
_cell_angle_beta 90.00
_cell_angle_gamma 90.00
loop_
_atom_site_label
_atom_site_type_symbol
_atom_site_fract_x
_atom_site_fract_y
_atom_site_fract_z
Ba1 Ba 0.000 0.000 0.000
Ca1 Ca 0.000 0.000 0.646
Ca2 Ca 0.500 0.500 0.353
Co1 Co 0.500 0.500 0.796
```

---

Entry S
Below is BaCa2Co after structural relaxation, with properties calculated at the PBE level.

Cell and atoms, written as CIF:
```
data_BaCa2Co
_chemical_formula_sum 'Ba2 Ca4 Co2'
_space_group_name_H-M_alt 'I m m 2'
_space_group_IT_number 44
_space_group_name_Hall 'I 2 -2'
_cell_length_a 3.613
_cell_length_b 5.135
_cell_length_c 15.157
_cell_angle_alpha 90.00
_cell_angle_beta 90.00
_cell_angle_gamma 90.00
loop_
_atom_site_label
_atom_site_type_symbol
_atom_site_fract_x
_atom_site_fract_y
_atom_site_fract_z
Ba1 Ba 0.000 0.000 0.000
Ca1 Ca 0.000 0.000 0.314
Ca2 Ca 0.000 0.500 0.167
Co1 Co 0.000 0.500 0.666
```

---

Stability ranking, top entry: entry P; the second entry is 19 meV per atom less favorable.